DFT (PBE-GGA) results for a geometry-optimized CuSbIN2 structure.

Lattice parameters (Å, degrees): 3.9766 3.9766 7.2455 90.00 90.00 90.00
Last column: nearest neighbours and their distance in Å.
Positions (direct):
Cu 0.0000 0.0000 0.0000  4 I 2.81
Sb 0.5000 0.5000 0.5000  4 N 1.99
I 0.5000 0.5000 0.0000  4 Cu 2.81
N 0.0000 0.5000 0.5000  2 Sb 1.99
N 0.5000 0.0000 0.5000  2 Sb 1.99

Output
formation energy (no corrections)	1251.4	meV per atom
relative energy among the computed polymorphs	0	meV/atom